A plane-wave DFT calculation with GGA-PBE was carried out for a relaxed La2DySe2S2 crystal.

abc: 5.1071 5.1071 8.4057
angles: 107.69 107.69 90.00
Last column: nearest neighbours and their distance in Å.
Sites, in units of the cell vectors:
S 0.0000 0.5000 0.0000  2 Dy 2.55
La 0.3762 0.3762 0.7525  1 Se 2.91, 4 S 3.17
S 0.5000 0.0000 0.0000  2 Dy 2.55
Se 0.1844 0.1844 0.3688  1 Dy 2.80, 1 La 2.91
Dy 0.0000 0.0000 0.0000  4 S 2.55, 2 Se 2.80
Se 0.8156 0.8156 0.6312  1 Dy 2.80, 1 La 2.91
La 0.6238 0.6238 0.2475  1 Se 2.91, 4 S 3.17

Properties
The uncorrected formation energy is -1808 meV per atom.


A plane-wave DFT calculation with GGA-PBE was carried out for a relaxed Tm4Al2O crystal.

abc: 4.5151 4.5151 8.4913
angles: 105.42 105.42 90.00
Last column: nearest neighbours and their distance in Å.
Sites, in units of the cell vectors:
Al 0.3642 0.3642 0.7284  9 Tm 3.05-3.24
O 0.0000 0.0000 0.0000  4 Tm 2.26
Tm 0.8293 0.8293 0.6587  1 O 2.69
Tm 0.0000 0.5000 0.0000  2 O 2.26
Al 0.6358 0.6358 0.2716  9 Tm 3.05-3.24
Tm 0.1707 0.1707 0.3413  1 O 2.69
Tm 0.5000 0.0000 0.0000  2 O 2.26

Properties
The uncorrected formation energy is -1012 meV per atom.


A plane-wave DFT calculation with GGA-PBE was carried out for a relaxed Pa4B3SbRu12 crystal.

abc: 7.5074 7.5074 7.5074
angles: 109.47 109.47 109.47
Last column: nearest neighbours and their distance in Å.
Sites, in units of the cell vectors:
Ru 0.2767 0.2767 0.0000  1 B 1.94
B 0.5000 0.0000 0.5000  6 Ru 1.94-2.17
Sb 0.0000 0.0000 0.0000  6 Ru 2.40
Ru 0.5000 0.7500 0.2500  2 B 2.17
Ru 0.7500 0.2500 0.5000  2 B 2.17
Pa 0.5000 0.5000 0.5000  12 Ru 3.06-3.07
Pa 0.0000 0.5000 0.0000  12 Ru 3.06-3.07
Ru 0.7500 0.5000 0.2500  2 B 2.17
Ru 0.0000 0.7233 0.7233  1 B 1.94
Ru 0.2500 0.5000 0.7500  2 B 2.17
Pa 0.5000 0.0000 0.0000  12 Ru 3.06-3.07
Pa 0.0000 0.0000 0.5000  12 Ru 3.06-3.07
Ru 0.0000 0.2767 0.2767  1 B 1.94
Ru 0.7233 0.7233 0.0000  1 B 1.94
Ru 0.5000 0.2500 0.7500  2 B 2.17
B 0.0000 0.5000 0.5000  6 Ru 1.94-2.17
Ru 0.2500 0.7500 0.5000  2 B 2.17
Ru 0.2767 0.0000 0.2767  1 B 1.94
Ru 0.7233 0.0000 0.7233  1 B 1.94
B 0.5000 0.5000 0.0000  6 Ru 1.94-2.17

Properties
The uncorrected formation energy is -268 meV per atom.


A plane-wave DFT calculation with GGA-PBE was carried out for a relaxed Na2AgSe crystal.

abc: 4.6930 4.6930 10.0367
angles: 76.48 76.48 90.00
Last column: nearest neighbours and their distance in Å.
Sites, in units of the cell vectors:
Na 0.3750 0.3982 0.7500  2 Se 2.85, 2 Ag 2.94, 2 Na 3.17
Se 0.5000 0.5000 0.0000  4 Na 2.85
Na 0.6018 0.1250 0.2500  2 Se 2.85, 2 Ag 2.94, 2 Na 3.17
Ag 0.7500 0.2500 0.5000  4 Na 2.94
Na 0.1482 0.6250 0.2500  2 Se 2.85, 2 Ag 2.94, 2 Na 3.17
Na 0.8750 0.8518 0.7500  2 Se 2.85, 2 Ag 2.94, 2 Na 3.17
Se 0.2500 0.7500 0.5000  4 Na 2.85
Ag 0.0000 0.0000 0.0000  4 Na 2.94

Properties
The uncorrected formation energy is -188 meV per atom.


A plane-wave DFT calculation with GGA-PBE was carried out for a relaxed Sm2Dy3Y6Zr crystal.

abc: 6.1252 6.1252 11.7078
angles: 94.98 94.98 119.93
Last column: nearest neighbours and their distance in Å.
Sites, in units of the cell vectors:
Dy 0.1664 0.8336 0.5000  6 Dy 3.53-3.54, 6 Y 3.55-3.59
Y 0.0821 0.4088 0.2464  6 Y 3.46-3.58, 1 Zr 3.48, 2 Sm 3.51, 3 Dy 3.55-3.59
Y 0.5912 0.9179 0.7536  6 Y 3.46-3.58, 1 Zr 3.48, 2 Sm 3.51, 3 Dy 3.55-3.59
Dy 0.5000 0.5000 0.5000  6 Dy 3.54, 6 Y 3.56-3.59
Y 0.9179 0.5912 0.7536  6 Y 3.46-3.58, 1 Zr 3.48, 2 Sm 3.51, 3 Dy 3.55-3.59
Dy 0.8336 0.1664 0.5000  6 Dy 3.53-3.54, 6 Y 3.55-3.59
Y 0.7556 0.7556 0.2461  6 Y 3.47-3.58, 1 Zr 3.47, 2 Sm 3.51, 3 Dy 3.56-3.59
Y 0.2444 0.2444 0.7539  6 Y 3.47-3.58, 1 Zr 3.47, 2 Sm 3.51, 3 Dy 3.56-3.59
Sm 0.3333 0.6667 0.0000  6 Y 3.51, 3 Zr 3.53-3.54, 3 Sm 3.54
Zr 0.0000 0.0000 0.0000  6 Y 3.47-3.48, 6 Sm 3.53-3.54
Y 0.4088 0.0821 0.2464  6 Y 3.46-3.58, 1 Zr 3.48, 2 Sm 3.51, 3 Dy 3.55-3.59
Sm 0.6667 0.3333 0.0000  6 Y 3.51, 3 Zr 3.53-3.54, 3 Sm 3.54

Properties
The calculation puts the energy relative to the elements at 0.053 eV per atom.


A plane-wave DFT calculation with GGA-PBE was carried out for a relaxed Sc2NiAuC crystal.

abc: 4.5808 4.5808 3.7114
angles: 90.00 90.00 90.00
Last column: nearest neighbours and their distance in Å.
Sites, in units of the cell vectors:
C 0.0000 0.0000 0.0000  2 Ni 1.86
Ni 0.0000 0.0000 0.5000  2 C 1.86
Sc 0.5000 0.0000 0.0000  2 C 2.29
Au 0.5000 0.5000 0.5000  8 Sc 2.95, 4 Ni 3.24
Sc 0.0000 0.5000 0.0000  2 C 2.29

Properties
The calculation puts the energy relative to the elements at -0.582 eV per atom.